Entry 1:
TaTlRh2Cl | Alexandria via LeMat-Bulk | GGA-PBEsol | relaxed; symmetry = P4/mmm (123); formation energy from raw total energies = 1929 meV per atom; calculated volume = 116.0 Å³ per cell; uncorrected energy = -23.819 eV for the cell shown
1.0
-0.375 4.200 -2.457
-1.022 -2.476 -4.075
-4.753 0.201 1.070
Rh Tl Ta Cl
2 1 1 1
Cartesian
-2.377 0.101 0.535
-0.511 -1.238 -2.037
0.000 0.000 0.000
-3.075 0.963 -2.731
-0.188 2.100 -1.229

---

Entry 2:
Li2PF | Alexandria via LeMat-Bulk | GGA-PBEsol | relaxed; symmetry = Fm-3m (225); formation energy from raw total energies = -717 meV per atom; calculated volume = 54.3 Å³ per cell; uncorrected energy = -14.520 eV for the cell shown
1.0
-3.121 2.191 1.877
-3.391 -2.038 1.552
-0.568 -0.287 4.202
Li P F
2 1 1
Cartesian
-1.770 -0.034 1.908
-5.310 -0.101 5.724
-3.540 -0.067 3.816
0.000 0.000 0.000

---

Entry 3:
LiHg5 | Alexandria via LeMat-Bulk | GGA-PBEsol | relaxed; symmetry = Cm (8); excess energy over the best structure of this formula in the dataset = 0.0134 eV per atom; formation energy = -0.1436 eV/atom; calculated volume = 132.7 Å³ per cell; uncorrected energy = -5.663 eV for the cell shown
1.0
3.408 0.000 0.000
-1.704 5.872 -0.250
0.000 -2.697 6.744
Hg Li
5 1
Cartesian
1.704 1.483 2.243
0.000 -1.298 4.021
0.000 0.285 0.051
0.000 1.674 4.695
0.000 4.032 1.337
1.704 -0.118 6.177

---

Entry 4:
ScZnCu | Alexandria via LeMat-Bulk | GGA-PBEsol | relaxed; symmetry = P3m1 (156); formation energy = 0.0470 eV/atom; calculated volume = 51.4 Å³ per cell; uncorrected energy = -12.380 eV for the cell shown
1.0
3.218 0.000 0.000
-1.609 2.787 0.000
0.000 0.000 5.729
Zn Sc Cu
1 1 1
Cartesian
1.609 0.929 1.739
0.000 1.858 3.889
0.000 0.000 0.101

---

Entry 5:
NaLi2SbO | Alexandria via LeMat-Bulk | GGA-PBEsol | relaxed; symmetry = P4/mmm (123); formation energy from raw total energies = -293 meV per atom; calculated volume = 115.6 Å³ per cell; uncorrected energy = -16.606 eV for the cell shown
1.0
4.321 0.000 0.000
0.000 5.172 0.000
0.000 0.000 5.172
Sb O Li Na
1 1 2 1
Cartesian
0.000 0.000 0.000
2.160 0.000 0.000
0.000 0.000 2.586
0.000 2.586 0.000
2.160 2.586 2.586

---

Entry 6:
SiPd2C | Alexandria via LeMat-Bulk | GGA-PBEsol | relaxed; symmetry = I-42d (122); formation energy from raw total energies = 489 meV per atom; calculated volume = 123.4 Å³ per cell; uncorrected energy = -50.702 eV for the cell shown
1.0
-3.748 2.898 0.441
-2.886 -3.522 -1.383
2.727 -1.241 5.659
Pd Si C
4 2 2
Cartesian
-1.884 -1.056 3.760
-3.531 -2.087 0.403
-3.399 0.687 1.249
0.999 -1.274 4.023
0.000 0.000 0.000
-1.738 -2.538 1.903
-3.317 -0.312 -0.471
-2.169 0.673 2.815

---

Entry 7:
KCaSi2 | Alexandria via LeMat-Bulk | GGA-PBEsol | relaxed; symmetry = P4/mmm (123); excess energy over the best structure of this formula in the dataset = 0.0000 eV per atom; formation energy from raw total energies = 247 meV per atom; calculated volume = 95.9 Å³ per cell; uncorrected energy = -13.771 eV for the cell shown
1.0
-2.727 1.001 1.537
-2.801 -3.947 -2.398
1.115 -3.299 4.129
Si Ca K
2 1 1
Cartesian
0.557 -1.650 2.064
-1.400 -1.974 -1.199
-2.207 -3.123 1.634
-1.364 0.501 0.768

---

Entry 8:
ScMo3 | Alexandria via LeMat-Bulk | GGA-PBEsol | relaxed; symmetry = Cmmm (65); formation energy = 0.3084 eV/atom; calculated volume = 65.3 Å³ per cell; uncorrected energy = -40.675 eV for the cell shown
1.0
2.667 0.000 0.000
0.000 5.218 0.000
0.000 -2.609 4.696
Mo Sc
3 1
Cartesian
0.000 0.000 0.000
1.334 -1.304 2.348
1.334 1.304 2.348
0.000 2.609 0.000

---

Entry 9:
TaN2 | Alexandria via LeMat-Bulk | GGA-PBEsol | relaxed; symmetry = P6/mmm (191); formation energy from raw total energies = -72 meV per atom; calculated volume = 70.3 Å³ per cell; uncorrected energy = -59.639 eV for the cell shown
1.0
2.785 0.000 0.000
0.000 5.398 0.000
0.000 -2.699 4.674
Ta N
2 4
Cartesian
1.392 0.000 3.116
1.392 2.699 1.558
0.000 0.000 0.000
0.000 1.349 2.337
0.000 -1.349 2.337
0.000 2.699 0.000

---

Entry 10:
ZnTcI2 | Alexandria via LeMat-Bulk | GGA-PBEsol | relaxed; symmetry = Fm-3m (225); formation energy from raw total energies = 805 meV per atom; calculated volume = 81.1 Å³ per cell; uncorrected energy = -13.160 eV for the cell shown
1.0
-4.513 -1.790 -0.181
-0.969 -3.871 -2.771
-1.001 -4.280 2.070
I Zn Tc
2 1 1
Cartesian
-1.621 -2.485 -0.220
-4.862 -7.456 -0.661
0.000 0.000 0.000
-3.242 -4.970 -0.441

---

Entry 11:
BeCrSe2 | Alexandria via LeMat-Bulk | GGA-PBEsol | relaxed; symmetry = I-4m2 (119); formation energy from raw total energies = 140 meV per atom; calculated volume = 78.1 Å³ per cell; uncorrected energy = -21.384 eV for the cell shown
1.0
3.404 0.000 0.000
0.000 3.404 0.000
-1.702 -1.702 6.742
Se Cr Be
2 1 1
Cartesian
1.702 0.000 3.371
0.000 0.000 0.000
0.000 1.702 3.371
1.702 1.702 0.000

---

Entry 12:
Li3In | Alexandria via LeMat-Bulk | GGA-PBEsol | relaxed; symmetry = P2/m (10); excess energy over the best structure of this formula in the dataset = 0.0474 eV per atom; formation energy = -0.2120 eV/atom; calculated volume = 73.9 Å³ per cell; uncorrected energy = -9.731 eV for the cell shown
1.0
2.937 0.000 0.021
0.000 4.710 0.000
-0.868 0.000 5.340
Li In
3 1
Cartesian
0.241 2.355 4.074
1.827 2.355 1.287
1.034 0.000 2.681
0.000 0.000 0.000